The following is a DFT calculation (PBE-GGA) of crystalline RbAs2IrBr at its relaxed geometry.

POSCAR file:
```
RbAs2IrBr
1.0
-3.445 -1.179 2.937
0.192 -4.411 -1.545
6.307 -2.030 6.582
As Ir Br Rb
2 1 1 1
Cartesian
0.096 -2.206 -0.772
-1.722 -0.589 1.469
0.000 0.000 0.000
3.154 -1.015 3.291
1.527 -3.810 3.987
```

Fermi-level density of states: 3.0 states/eV/cell
energy relative to the lowest polymorph listed for this composition: 0.00 eV/f.u.
raw formation energy: -0.1751 eV/atom